Record 1
## Y2FePb (PBEsol)

Data for a relaxed Y2FePb crystal.

The structure in extended XYZ format:
```
4
Lattice="-2.610 1.562 -3.081 2.287 -2.112 -3.008 -2.798 -3.659 3.557" Properties=species:S:1:pos:R:3 pbc="T T T"
Fe -0.161 -0.275 -3.045
Pb -0.336 -3.023 -1.248
Y 0.000 0.000 0.000
Y -2.785 -1.186 -1.284
```

Results
* energy of formation: 0.00 eV/atom
* E_tot: -6.649 eV/atom
* N(E_F): 0.901 states/eV per atom

Record 2
## HfZr2H (PBEsol)

Data for a relaxed HfZr2H crystal.

The structure in extended XYZ format:
```
4
Lattice="-1.019 0.786 4.472 2.375 -2.192 3.348 2.972 2.374 2.681" Properties=species:S:1:pos:R:3 pbc="T T T"
H 0.000 0.000 0.000
Hf 2.164 0.484 5.250
Zr 1.082 0.242 2.625
Zr 3.247 0.726 7.875
```

Results
* E_tot: -7.226 eV/atom
* N(E_F): 0.952 states/eV per atom

Record 3
## FeCuPt2 (PBEsol)

Data for a relaxed FeCuPt2 crystal.

The structure in extended XYZ format:
```
4
Lattice="-2.731 -2.175 -0.554 2.255 -2.264 -2.231 1.018 -2.077 3.136" Properties=species:S:1:pos:R:3 pbc="T T T"
Cu 0.271 -3.258 0.176
Pt 0.509 -1.038 1.568
Pt 1.128 -1.132 -1.115
Fe -1.366 -1.088 -0.277
```

Results
* energy of formation: -0.14 eV/atom
* E_tot: -6.948 eV/atom
* N(E_F): 0.745 states/eV per atom

Record 4
## Be2TcAs (PBEsol)

Data for a relaxed Be2TcAs crystal.

The structure in extended XYZ format:
```
4
Lattice="-0.178 3.131 -0.312 -3.216 -0.376 -1.943 -0.279 -1.167 4.357" Properties=species:S:1:pos:R:3 pbc="T T T"
Be -0.037 0.004 0.061
Be -1.022 1.664 1.369
As -2.620 -0.081 0.682
Tc -1.969 0.209 3.218
```

Results
* energy of formation: -0.04 eV/atom
* E_tot: -6.135 eV/atom
* N(E_F): 0.502 states/eV per atom

Record 5
## Rb2HfCBr (PBEsol)

Data for a relaxed Rb2HfCBr crystal.

The structure in extended XYZ format:
```
5
Lattice="-1.771 -4.086 2.422 6.473 -1.404 2.365 -1.235 3.919 5.708" Properties=species:S:1:pos:R:3 pbc="T T T"
C 1.733 -0.785 5.247
Hf 0.000 0.000 0.000
Br -0.886 -2.043 1.211
Rb -0.618 1.960 2.854
Rb 3.237 -0.702 1.182
```

Results
* E_tot: -3.195 eV/atom
* N(E_F): 1.037 states/eV per atom
* formation energy from raw total energies: 1.6189 eV/atom

Record 6
## CrHg2Os (PBEsol)

Data for a relaxed CrHg2Os crystal.

The structure in extended XYZ format:
```
4
Lattice="-1.989 1.869 1.101 -2.862 -0.682 -0.078 -0.889 -3.585 8.413" Properties=species:S:1:pos:R:3 pbc="T T T"
Cr 0.000 0.000 0.000
Hg -1.438 -0.584 2.329
Hg -4.302 -1.813 7.108
Os -2.870 -1.199 4.718
```

Results
* ΔE to the lowest computed polymorph: 62 meV per atom
* energy of formation: 0.81 eV/atom
* E_tot: -5.091 eV/atom
* N(E_F): 1.091 states/eV per atom

Record 7
## CaLa2Cd (PBEsol)

Data for a relaxed CaLa2Cd crystal.

The structure in extended XYZ format:
```
4
Lattice="3.627 0.000 0.000 0.000 4.575 0.000 0.000 0.000 7.357" Properties=species:S:1:pos:R:3 pbc="T T T"
Ca 0.000 0.000 3.908
Cd 1.814 2.288 5.540
La 0.000 0.000 0.032
La 1.814 2.288 1.555
```

Results
* energy of formation: -0.10 eV/atom
* E_tot: -3.604 eV/atom
* N(E_F): 1.012 states/eV per atom

Record 8
## PmSmIr2 (PBEsol)

Data for a relaxed PmSmIr2 crystal.

The structure in extended XYZ format:
```
4
Lattice="4.893 0.000 0.000 2.446 4.237 0.000 2.446 1.412 3.995" Properties=species:S:1:pos:R:3 pbc="T T T"
Ir 2.446 1.412 0.999
Ir 7.339 4.237 2.996
Sm 0.000 0.000 0.000
Pm 4.893 2.825 1.998
```

Results
* energy of formation: -0.57 eV/atom
* E_tot: -8.038 eV/atom
* N(E_F): 0.545 states/eV per atom

Record 9
## Co5Pb (PBEsol)

Data for a relaxed Co5Pb crystal.

The structure in extended XYZ format:
```
6
Lattice="2.801 0.000 0.000 0.000 3.963 0.000 -1.401 0.000 6.811" Properties=species:S:1:pos:R:3 pbc="T T T"
Co 1.401 0.000 6.485
Co 0.000 0.000 4.508
Co 1.401 0.000 2.543
Co 0.000 1.982 5.909
Co 1.401 1.982 4.026
Pb 0.000 1.982 1.504
```

Results
* energy of formation: 0.37 eV/atom
* E_tot: -6.746 eV/atom
* N(E_F): 1.097 states/eV per atom

Record 10
## MnHgAu2 (PBEsol)

Data for a relaxed MnHgAu2 crystal.

The structure in extended XYZ format:
```
4
Lattice="-0.527 -1.340 2.808 0.960 -2.779 -1.146 6.480 1.451 1.908" Properties=species:S:1:pos:R:3 pbc="T T T"
Mn 3.457 -1.334 1.785
Au 4.669 1.046 1.375
Au 1.811 0.406 0.533
Hg 0.217 -2.060 0.831
```

Results
* energy of formation: 0.04 eV/atom
* E_tot: -4.507 eV/atom
* N(E_F): 0.336 states/eV per atom

Record 11
## SrIn2Fe (PBEsol)

Data for a relaxed SrIn2Fe crystal.

The structure in extended XYZ format:
```
4
Lattice="3.561 0.000 0.000 0.000 5.401 0.000 -1.781 -2.700 4.939" Properties=species:S:1:pos:R:3 pbc="T T T"
Fe 0.000 2.700 0.000
In 1.781 2.700 2.038
In 0.000 0.000 2.901
Sr 1.781 0.000 0.000
```

Results
* energy of formation: 0.18 eV/atom
* E_tot: -4.013 eV/atom
* N(E_F): 1.200 states/eV per atom

Record 12
## SrRe2Pt (PBEsol)

Data for a relaxed SrRe2Pt crystal.

The structure in extended XYZ format:
```
4
Lattice="-0.430 2.519 -0.811 -2.721 -2.446 -3.620 -2.571 0.207 5.168" Properties=species:S:1:pos:R:3 pbc="T T T"
Pt -1.360 -1.223 -1.810
Re -1.286 0.104 2.584
Re -2.861 0.140 0.369
Sr -0.215 1.259 -0.405
```

Results
* ΔE to the lowest computed polymorph: 0 meV per atom
* energy of formation: 0.75 eV/atom
* E_tot: -8.118 eV/atom
* N(E_F): 1.060 states/eV per atom

Record 13
## ZrHgBPd2 (PBEsol)

Data for a relaxed ZrHgBPd2 crystal.

The structure in extended XYZ format:
```
5
Lattice="-4.179 0.351 0.710 -0.429 -4.208 -0.447 0.689 -0.528 4.315" Properties=species:S:1:pos:R:3 pbc="T T T"
Zr -1.960 -2.193 2.289
B 0.000 0.000 0.000
Hg 0.344 -0.264 2.157
Pd -0.215 -2.104 -0.223
Pd -2.090 0.175 0.355
```

Results
* energy of formation: -0.03 eV/atom
* E_tot: -5.749 eV/atom
* N(E_F): 0.684 states/eV per atom

Record 14
## TlZnRu2 (PBEsol)

Data for a relaxed TlZnRu2 crystal.

The structure in extended XYZ format:
```
4
Lattice="-2.146 -1.800 -0.488 1.742 -1.669 -1.505 1.894 -4.078 6.715" Properties=species:S:1:pos:R:3 pbc="T T T"
Ru 0.024 -0.053 0.087
Ru 0.192 -2.583 0.401
Tl 0.910 -1.960 3.228
Zn 1.310 -4.991 4.365
```

Results
* ΔE to the lowest computed polymorph: 0 meV per atom
* energy of formation: 0.25 eV/atom
* E_tot: -5.886 eV/atom
* N(E_F): 0.760 states/eV per atom

Record 15
## MnTlB3 (PBEsol)

Data for a relaxed MnTlB3 crystal.

The structure in extended XYZ format:
```
5
Lattice="-3.216 2.276 -0.300 -2.286 -3.127 0.782 0.213 0.810 3.862" Properties=species:S:1:pos:R:3 pbc="T T T"
Tl -2.645 -0.020 2.172
Mn 0.000 0.000 0.000
B -1.143 -1.563 0.391
B 0.106 0.405 1.931
B -1.608 1.138 -0.150
```

Results
* energy of formation: 1.03 eV/atom
* E_tot: -5.659 eV/atom
* N(E_F): 0.657 states/eV per atom

Record 16
## TaInPb2 (PBEsol)

Data for a relaxed TaInPb2 crystal.

The structure in extended XYZ format:
```
4
Lattice="-3.221 -0.822 -1.928 2.082 -0.848 -3.116 0.391 -5.951 1.882" Properties=species:S:1:pos:R:3 pbc="T T T"
In -0.374 -3.811 -1.582
Pb 0.298 -4.538 1.435
Pb 0.093 -1.414 0.447
Ta -0.569 -0.835 -2.522
```

Results
* energy of formation: 0.44 eV/atom
* E_tot: -5.447 eV/atom
* N(E_F): 0.444 states/eV per atom

Record 17
## KCd2Tc (PBEsol)

Data for a relaxed KCd2Tc crystal.

The structure in extended XYZ format:
```
4
Lattice="-1.668 2.159 0.094 0.188 -1.791 4.805 5.783 4.431 0.877" Properties=species:S:1:pos:R:3 pbc="T T T"
Cd 0.296 0.226 0.060
Cd 4.386 3.249 3.241
K 2.170 1.447 5.267
Tc -0.305 1.381 2.498
```

Results
* ΔE to the lowest computed polymorph: 147 meV per atom
* energy of formation: 0.69 eV/atom
* E_tot: -3.007 eV/atom
* N(E_F): 0.676 states/eV per atom

Record 18
## As3Au4 (PBEsol)

Data for a relaxed As3Au4 crystal.

The structure in extended XYZ format:
```
7
Lattice="-2.942 0.665 -1.825 0.993 -2.332 -2.450 -3.835 -6.539 7.205" Properties=species:S:1:pos:R:3 pbc="T T T"
As 0.000 0.000 0.000
As -2.893 -3.775 -0.116
As -2.891 -4.432 3.046
Au -4.402 -6.088 1.475
Au -1.382 -2.118 1.456
Au -1.632 -1.842 -1.444
Au -4.151 -6.364 4.375
```

Results
* energy of formation: 0.19 eV/atom
* E_tot: -4.240 eV/atom
* N(E_F): 0.282 states/eV per atom

Record 19
## NbInPS2 (PBEsol)

Data for a relaxed NbInPS2 crystal.

The structure in extended XYZ format:
```
5
Lattice="-2.285 -2.149 3.573 2.692 -3.871 -0.607 3.303 1.797 3.193" Properties=species:S:1:pos:R:3 pbc="T T T"
P 1.652 0.898 1.596
Nb 0.000 0.000 0.000
S 1.346 -1.936 -0.303
S -1.142 -1.074 1.786
In 1.855 -2.112 3.080
```

Results
* ΔE to the lowest computed polymorph: 0 meV per atom
* E_tot: -5.894 eV/atom
* N(E_F): 0.512 states/eV per atom
* formation energy from raw total energies: -0.2210 eV/atom

Record 20
## SrMg2Cu (PBEsol)

Data for a relaxed SrMg2Cu crystal.

The structure in extended XYZ format:
```
4
Lattice="-3.975 -1.070 -2.516 -1.984 -1.927 3.953 1.436 5.018 0.223" Properties=species:S:1:pos:R:3 pbc="T T T"
Cu 0.000 0.000 0.000
Mg -2.759 1.225 -0.787
Mg -1.764 0.796 2.447
Sr -2.979 -1.499 0.718
```

Results
* energy of formation: 0.19 eV/atom
* E_tot: -2.208 eV/atom
* N(E_F): 0.610 states/eV per atom

Record 21
## LiY2Zn (PBEsol)

Data for a relaxed LiY2Zn crystal.

The structure in extended XYZ format:
```
4
Lattice="3.482 0.000 0.000 0.000 5.000 0.000 -1.741 -2.500 5.222" Properties=species:S:1:pos:R:3 pbc="T T T"
Li 0.000 2.500 2.163
Y 1.741 2.500 5.137
Y 1.741 0.000 2.901
Zn 1.741 2.500 0.242
```

Results
* energy of formation: -0.07 eV/atom
* E_tot: -4.366 eV/atom
* N(E_F): 0.951 states/eV per atom

Record 22
## LiSb2Br (PBEsol)

Data for a relaxed LiSb2Br crystal.

The structure in extended XYZ format:
```
4
Lattice="-3.187 1.036 2.401 3.237 -1.979 1.611 3.552 7.174 1.620" Properties=species:S:1:pos:R:3 pbc="T T T"
Sb 3.104 6.400 4.898
Sb 3.449 4.962 2.438
Br -0.001 3.350 2.093
Li 0.834 1.854 3.847
```

Results
* ΔE to the lowest computed polymorph: 0 meV per atom
* E_tot: -3.884 eV/atom
* formation energy from raw total energies: -0.6464 eV/atom

Record 23
## Zr3TeO (PBEsol)

Data for a relaxed Zr3TeO crystal.

The structure in extended XYZ format:
```
5
Lattice="5.207 0.000 0.000 0.000 5.207 0.000 0.000 0.000 5.207" Properties=species:S:1:pos:R:3 pbc="T T T"
Te 0.000 0.000 0.000
O 2.603 2.603 2.603
Zr 0.000 2.603 0.000
Zr 0.000 0.000 2.603
Zr 2.603 0.000 0.000
```

Results
* E_tot: -5.978 eV/atom
* N(E_F): 1.721 states/eV per atom
* formation energy from raw total energies: 1.2310 eV/atom

Record 24
## BaDy2Se4 (PBEsol)

Data for a relaxed BaDy2Se4 crystal.

The structure in extended XYZ format:
```
28
Lattice="-3.078 2.337 -1.515 4.391 -1.787 -11.676 -8.594 -12.206 -1.364" Properties=species:S:1:pos:R:3 pbc="T T T"
Ba -0.469 -1.581 -10.016
Ba -4.132 -2.772 -4.411
Ba -6.813 -10.075 -4.540
Ba -3.150 -8.884 -10.145
Dy -2.940 0.319 -2.063
Dy -3.192 -4.049 -8.290
Dy -4.341 -11.975 -12.492
Dy -4.090 -7.607 -6.266
Dy -7.124 -5.711 -2.865
Dy -7.506 -10.265 -9.113
Dy -0.158 -5.945 -11.691
Dy 0.224 -1.391 -5.443
Se -6.730 -6.874 -5.457
Se -6.015 -9.869 -11.531
Se -0.552 -4.782 -9.098
Se -1.267 -1.787 -3.025
Se -9.062 -10.823 -6.812
Se -2.985 -6.204 -12.034
Se 1.780 -0.833 -7.744
Se -4.297 -5.452 -2.522
Se -0.447 -3.443 -12.932
Se -2.082 -1.753 -7.005
Se -6.835 -8.213 -1.624
Se -5.200 -9.903 -7.551
Se -9.860 -9.646 -3.375
Se -4.716 -6.352 -8.745
Se 2.578 -2.010 -11.181
Se -2.566 -5.304 -5.811
```

Results
* E_tot: -5.907 eV/atom
* formation energy from raw total energies: -1.9776 eV/atom

Record 25
## TaSbRu2 (PBEsol)

Data for a relaxed TaSbRu2 crystal.

The structure in extended XYZ format:
```
4
Lattice="2.920 0.000 0.000 -0.323 5.084 0.000 -1.298 -2.542 4.364" Properties=species:S:1:pos:R:3 pbc="T T T"
Ru -0.649 -1.271 2.182
Ru 0.649 1.271 2.182
Sb 1.460 0.000 0.000
Ta -0.162 2.542 0.000
```

Results
* E_tot: -9.148 eV/atom
* N(E_F): 1.031 states/eV per atom
* formation energy from raw total energies: 0.2156 eV/atom

Record 26
## HfTlI2O (PBEsol)

Data for a relaxed HfTlI2O crystal.

The structure in extended XYZ format:
```
5
Lattice="-1.295 -0.267 -3.735 4.725 -3.434 -1.393 -3.144 -4.909 1.440" Properties=species:S:1:pos:R:3 pbc="T T T"
I -1.572 -2.455 0.720
I 2.363 -1.717 -0.696
Tl 0.000 0.000 0.000
Hf 0.143 -4.305 -1.844
O -0.647 -0.133 -1.868
```

Results
* E_tot: -3.936 eV/atom
* N(E_F): 1.218 states/eV per atom
* formation energy from raw total energies: 0.4475 eV/atom

Record 27
## BeAlFe2 (PBEsol)

Data for a relaxed BeAlFe2 crystal.

The structure in extended XYZ format:
```
4
Lattice="-1.197 -0.039 2.489 0.744 -2.642 0.316 4.606 1.565 2.239" Properties=species:S:1:pos:R:3 pbc="T T T"
Be 2.076 -0.558 2.522
Fe 3.291 1.118 1.600
Fe 1.315 0.447 0.639
Al -0.227 -1.340 1.403
```

Results
* energy of formation: -0.23 eV/atom
* E_tot: -6.738 eV/atom
* N(E_F): 0.704 states/eV per atom

Record 28
## AsSe2BrO (PBEsol)

Data for a relaxed AsSe2BrO crystal.

The structure in extended XYZ format:
```
5
Lattice="4.988 0.000 0.000 0.000 4.988 0.000 0.000 0.000 5.142" Properties=species:S:1:pos:R:3 pbc="T T T"
O 2.494 2.494 2.571
As 0.000 0.000 0.000
Se 0.000 2.494 0.000
Se 2.494 0.000 0.000
Br 0.000 0.000 2.571
```

Results
* E_tot: -3.055 eV/atom
* N(E_F): 1.471 states/eV per atom
* formation energy from raw total energies: 0.9306 eV/atom

Record 29
## LiZn2Ag (PBEsol)

Data for a relaxed LiZn2Ag crystal.

The structure in extended XYZ format:
```
4
Lattice="-0.129 0.582 -2.723 -3.178 -2.215 -0.322 -2.963 3.700 3.780" Properties=species:S:1:pos:R:3 pbc="T T T"
Zn -2.303 3.189 0.788
Zn -0.789 1.093 0.269
Ag -1.654 -0.816 -1.523
Li -3.070 0.743 1.729
```

Results
* energy of formation: -0.15 eV/atom
* E_tot: -2.256 eV/atom
* N(E_F): 0.283 states/eV per atom